A relaxed Cd6As crystal. Source: Alexandria, functional PBE.

Cell and atoms, written as POSCAR:
```
Cd6As
1.0
6.895 0.000 0.000
-2.298 6.500 0.000
-2.298 -3.250 5.629
Cd As
6 1
Cartesian
1.149 -0.813 4.222 Cd
-1.149 0.813 4.222 Cd
3.447 2.438 1.407 Cd
1.149 4.063 1.407 Cd
-1.149 3.250 2.815 Cd
3.447 0.000 2.815 Cd
0.000 0.000 0.000 As
```

Properties
- energy of formation from the pure elements (eV per atom) = 0.63
- Fermi-level density of states (states/eV per atom) = 0.495
- crystal system = cubic
- size of the total moment (μB/cell) = 1.4
- ρ (g cm⁻³) = 4.93

A relaxed Cd2As crystal. Source: Alexandria, functional PBE.

Cell and atoms, written as POSCAR:
```
Cd2As
1.0
-5.064 4.723 1.259
2.390 -6.569 0.814
2.466 1.451 4.475
Cd As
4 2
Cartesian
-3.446 3.569 2.318 Cd
-1.102 0.017 2.178 Cd
3.238 -3.964 4.230 Cd
0.894 -0.412 4.370 Cd
1.511 -3.941 2.022 As
-1.719 3.546 4.525 As
```

Properties
- energy of formation from the pure elements (eV per atom) = 0.09
- Fermi-level density of states (states/eV per atom) = 0.268
- crystal system = orthorhombic
- energy above the lowest structure with this stoichiometry (meV/atom) = 88
- size of the total moment (μB/cell) = 0.0
- ρ (g cm⁻³) = 7.18

A relaxed Ce2CdAs4 crystal. Source: Alexandria, functional PBE.

Cell and atoms, written as POSCAR:
```
Ce2CdAs4
1.0
-2.309 2.925 -1.487
-1.917 -2.678 -2.291
-6.923 -1.579 7.642
As Cd Ce
4 1 2
Cartesian
-5.575 -0.667 1.932 As
-3.461 -0.790 3.821 As
-6.632 -2.633 5.117 As
-2.404 1.177 0.636 As
-2.113 0.123 -1.889 Cd
-2.877 -1.777 0.972 Ce
-6.159 0.321 4.781 Ce
```

Properties
- energy of formation from the pure elements (eV per atom) = -0.87
- Fermi-level density of states (states/eV per atom) = 1.391
- crystal system = tetragonal
- size of the total moment (μB/cell) = 1.2
- ρ (g cm⁻³) = 6.85